Computed, not measured: a relaxed LaMgMnC crystal at the GGA-PBE level of DFT.

```
LaMgMnC
1.0
3.6931 0.0000 0.0000
0.0000 3.6931 0.0000
0.0000 0.0000 11.1310
La Mg Mn C
2 2 2 2
Direct
0.2500 0.2500 0.2100 La
0.7500 0.7500 0.7900 La
0.2500 0.7500 0.5000 Mg
0.7500 0.2500 0.5000 Mg
0.2500 0.7500 0.0000 Mn
0.7500 0.2500 0.0000 Mn
0.2500 0.2500 0.9299 C
0.7500 0.7500 0.0701 C
```

Values from the calculation:
- Formation enthalpy at 0 K: 0.18 eV per formula unit
- Symmetry: P4/nmm, No. 129
- N(E_F): 6.9 states/eV per cell